# 1
Entry from Alexandria via LeMat-Bulk: crystalline La2PrRu2 at its relaxed geometry (PBE).

CIF file:
```
data_La2PrRu2
_space_group_name_H-M_alt 'P 1'
_space_group_IT_number 1
_cell_length_a 4.853
_cell_length_b 5.177
_cell_length_c 11.252
_cell_angle_alpha 76.06
_cell_angle_beta 90.00
_cell_angle_gamma 90.00
loop_
_space_group_symop_operation_xyz
'x,y,z'
loop_
_atom_site_label
_atom_site_type_symbol
_atom_site_fract_x
_atom_site_fract_y
_atom_site_fract_z
Pr1 Pr 0.250 0.490 0.213
Pr2 Pr 0.750 0.510 0.787
Ru1 Ru 0.250 0.365 0.955
La1 La 0.250 0.945 0.890
La2 La 0.750 0.773 0.447
Ru2 Ru 0.250 0.620 0.648
Ru3 Ru 0.750 0.380 0.352
La3 La 0.750 0.055 0.110
La4 La 0.250 0.227 0.553
Ru4 Ru 0.750 0.635 0.045
```

Results
The calculation puts the total magnetization at 0.00 μB per cell. The value obtained for the density is 7.5 g/cm³. Its space group is P2_1/m, No. 11. The density of states at the Fermi level is 3.88 states/eV/f.u.

---

# 2
Entry from Alexandria via LeMat-Bulk: crystalline La2Pr3Ru2 at its relaxed geometry (PBE).

CIF file:
```
data_La2Pr3Ru2
_space_group_name_H-M_alt 'P 1'
_space_group_IT_number 1
_cell_length_a 3.981
_cell_length_b 6.583
_cell_length_c 9.185
_cell_angle_alpha 112.71
_cell_angle_beta 90.00
_cell_angle_gamma 107.60
loop_
_space_group_symop_operation_xyz
'x,y,z'
loop_
_atom_site_label
_atom_site_type_symbol
_atom_site_fract_x
_atom_site_fract_y
_atom_site_fract_z
La1 La 0.173 0.346 0.804
La2 La 0.827 0.654 0.196
Pr1 Pr 0.619 0.237 0.417
Pr2 Pr 0.381 0.763 0.583
Ru1 Ru 0.811 0.621 0.765
Ru2 Ru 0.189 0.379 0.235
Pr3 Pr 0.500 0.000 0.000
```

Results
The calculation puts the total magnetization at 0.00 μB per cell. The value obtained for the density is 7.1 g/cm³. Its space group is C2/m, No. 12. The density of states at the Fermi level is 5.12 states/eV/f.u.

---

# 3
Entry from Alexandria via LeMat-Bulk: crystalline LaPrRu2 at its relaxed geometry (PBE).

CIF file:
```
data_LaPrRu2
_space_group_name_H-M_alt 'P 1'
_space_group_IT_number 1
_cell_length_a 3.543
_cell_length_b 3.543
_cell_length_c 7.101
_cell_angle_alpha 90.00
_cell_angle_beta 90.00
_cell_angle_gamma 90.00
loop_
_space_group_symop_operation_xyz
'x,y,z'
loop_
_atom_site_label
_atom_site_type_symbol
_atom_site_fract_x
_atom_site_fract_y
_atom_site_fract_z
La1 La 0.500 0.500 0.000
Pr1 Pr 0.500 0.500 0.500
Ru1 Ru 0.000 0.000 0.242
Ru2 Ru 0.000 0.000 0.758
```

Results
The calculation puts the total magnetization at 0.00 μB per cell. The value obtained for the density is 9.0 g/cm³. Its space group is P4/mmm, No. 123. The density of states at the Fermi level is 4.13 states/eV/f.u.

---

# 4
Entry from Alexandria via LeMat-Bulk: crystalline La2PrRu at its relaxed geometry (PBE).

CIF file:
```
data_La2PrRu
_space_group_name_H-M_alt 'P 1'
_space_group_IT_number 1
_cell_length_a 3.914
_cell_length_b 3.914
_cell_length_c 10.831
_cell_angle_alpha 79.59
_cell_angle_beta 79.59
_cell_angle_gamma 60.00
loop_
_space_group_symop_operation_xyz
'x,y,z'
loop_
_atom_site_label
_atom_site_type_symbol
_atom_site_fract_x
_atom_site_fract_y
_atom_site_fract_z
Ru1 Ru 0.500 0.500 0.500
La1 La 0.885 0.885 0.344
Pr1 Pr 0.000 0.000 0.000
La2 La 0.115 0.115 0.656
```

Results
The calculation puts the total magnetization at 0.00 μB per cell. The value obtained for the density is 6.1 g/cm³. Its space group is R-3m, No. 166. The density of states at the Fermi level is 4.04 states/eV/f.u.

---

# 5
Entry from Alexandria via LeMat-Bulk: crystalline La6PrRu4 at its relaxed geometry (PBE).

CIF file:
```
data_La6PrRu4
_space_group_name_H-M_alt 'P 1'
_space_group_IT_number 1
_cell_length_a 6.856
_cell_length_b 7.265
_cell_length_c 9.003
_cell_angle_alpha 125.45
_cell_angle_beta 108.69
_cell_angle_gamma 100.23
loop_
_space_group_symop_operation_xyz
'x,y,z'
loop_
_atom_site_label
_atom_site_type_symbol
_atom_site_fract_x
_atom_site_fract_y
_atom_site_fract_z
La1 La 0.118 0.432 0.971
La2 La 0.521 0.571 0.507
La3 La 0.434 0.120 0.578
Ru1 Ru 0.521 0.642 0.881
Pr1 Pr 0.018 0.974 0.035
La4 La 0.014 0.454 0.553
La5 La 0.777 0.773 0.273
Ru2 Ru 0.020 0.900 0.663
Ru3 Ru 0.478 0.025 0.253
La6 La 0.525 0.089 0.990
Ru4 Ru 0.074 0.522 0.296
```

Results
The calculation puts the total magnetization at 0.00 μB per cell. The value obtained for the density is 7.5 g/cm³. Its space group is P1, No. 1. The density of states at the Fermi level is 6.22 states/eV/f.u.

---

# 6
Entry from Alexandria via LeMat-Bulk: crystalline La2PrRu at its relaxed geometry (PBE).

CIF file:
```
data_La2PrRu
_space_group_name_H-M_alt 'P 1'
_space_group_IT_number 1
_cell_length_a 4.041
_cell_length_b 4.041
_cell_length_c 9.686
_cell_angle_alpha 77.96
_cell_angle_beta 77.96
_cell_angle_gamma 60.00
loop_
_space_group_symop_operation_xyz
'x,y,z'
loop_
_atom_site_label
_atom_site_type_symbol
_atom_site_fract_x
_atom_site_fract_y
_atom_site_fract_z
La1 La 0.056 0.056 0.831
Ru1 Ru 0.665 0.665 0.004
Pr1 Pr 0.501 0.501 0.497
La2 La 0.277 0.277 0.168
```

Results
The calculation puts the total magnetization at 0.00 μB per cell. The value obtained for the density is 6.5 g/cm³. Its space group is R3m, No. 160. The density of states at the Fermi level is 4.50 states/eV/f.u.

---

# 7
Entry from Alexandria via LeMat-Bulk: crystalline La2PrRu at its relaxed geometry (PBE).

CIF file:
```
data_La2PrRu
_space_group_name_H-M_alt 'P 1'
_space_group_IT_number 1
_cell_length_a 6.550
_cell_length_b 7.424
_cell_length_c 10.041
_cell_angle_alpha 90.00
_cell_angle_beta 90.00
_cell_angle_gamma 90.00
loop_
_space_group_symop_operation_xyz
'x,y,z'
loop_
_atom_site_label
_atom_site_type_symbol
_atom_site_fract_x
_atom_site_fract_y
_atom_site_fract_z
Ru1 Ru 0.574 0.108 0.750
La1 La 0.671 0.827 0.570
La2 La 0.329 0.173 0.430
Ru2 Ru 0.074 0.392 0.250
Pr1 Pr 0.649 0.545 0.250
Pr2 Pr 0.149 0.955 0.750
La3 La 0.329 0.173 0.070
La4 La 0.671 0.827 0.930
La5 La 0.171 0.673 0.430
La6 La 0.829 0.327 0.570
Pr3 Pr 0.851 0.045 0.250
La7 La 0.829 0.327 0.930
Ru3 Ru 0.426 0.892 0.250
Pr4 Pr 0.351 0.455 0.750
Ru4 Ru 0.926 0.608 0.750
La8 La 0.171 0.673 0.070
```

Results
The calculation puts the total magnetization at 0.00 μB per cell. The value obtained for the density is 7.1 g/cm³. Its space group is Pnma, No. 62. The density of states at the Fermi level is 4.42 states/eV/f.u.

---

# 8
Entry from Alexandria via LeMat-Bulk: crystalline La4PrRu2 at its relaxed geometry (PBE).

CIF file:
```
data_La4PrRu2
_space_group_name_H-M_alt 'P 1'
_space_group_IT_number 1
_cell_length_a 6.866
_cell_length_b 8.117
_cell_length_c 7.928
_cell_angle_alpha 111.58
_cell_angle_beta 90.00
_cell_angle_gamma 90.00
loop_
_space_group_symop_operation_xyz
'x,y,z'
loop_
_atom_site_label
_atom_site_type_symbol
_atom_site_fract_x
_atom_site_fract_y
_atom_site_fract_z
La1 La 0.502 0.585 0.241
Ru1 Ru 0.750 0.756 0.008
La2 La 0.750 0.032 0.387
Pr1 Pr 0.250 0.845 0.978
La3 La 0.250 0.244 0.310
La4 La 0.250 0.968 0.613
Pr2 Pr 0.750 0.155 0.022
Ru2 Ru 0.750 0.353 0.414
Ru3 Ru 0.250 0.244 0.992
La5 La 0.498 0.415 0.759
Ru4 Ru 0.250 0.647 0.586
La6 La 0.998 0.585 0.241
La7 La 0.002 0.415 0.759
La8 La 0.750 0.756 0.690
```

Results
The calculation puts the total magnetization at 0.00 μB per cell. The value obtained for the density is 7.3 g/cm³. Its space group is P2_1/m, No. 11. The density of states at the Fermi level is 8.15 states/eV/f.u.

---

# 9
Entry from Alexandria via LeMat-Bulk: crystalline LaPr8Ru2 at its relaxed geometry (PBE).

CIF file:
```
data_LaPr8Ru2
_space_group_name_H-M_alt 'P 1'
_space_group_IT_number 1
_cell_length_a 7.404
_cell_length_b 7.802
_cell_length_c 7.802
_cell_angle_alpha 67.07
_cell_angle_beta 108.75
_cell_angle_gamma 108.75
loop_
_space_group_symop_operation_xyz
'x,y,z'
loop_
_atom_site_label
_atom_site_type_symbol
_atom_site_fract_x
_atom_site_fract_y
_atom_site_fract_z
Pr1 Pr 0.800 0.662 0.662
Pr2 Pr 0.303 0.878 0.878
Pr3 Pr 0.697 0.122 0.122
Ru1 Ru 0.595 0.800 0.800
Pr4 Pr 0.298 0.815 0.423
Ru2 Ru 0.405 0.200 0.200
La1 La 0.000 0.000 0.000
Pr5 Pr 0.702 0.577 0.185
Pr6 Pr 0.702 0.185 0.577
Pr7 Pr 0.298 0.423 0.815
Pr8 Pr 0.200 0.338 0.338
```

Results
The calculation puts the total magnetization at 0.00 μB per cell. The value obtained for the density is 6.4 g/cm³. Its space group is C2/m, No. 12. The density of states at the Fermi level is 11.25 states/eV/f.u.

---

# 10
Entry from Alexandria via LeMat-Bulk: crystalline La3Pr4Ru4 at its relaxed geometry (PBE).

CIF file:
```
data_La3Pr4Ru4
_space_group_name_H-M_alt 'P 1'
_space_group_IT_number 1
_cell_length_a 3.793
_cell_length_b 9.132
_cell_length_c 9.737
_cell_angle_alpha 117.97
_cell_angle_beta 101.23
_cell_angle_gamma 90.00
loop_
_space_group_symop_operation_xyz
'x,y,z'
loop_
_atom_site_label
_atom_site_type_symbol
_atom_site_fract_x
_atom_site_fract_y
_atom_site_fract_z
Pr1 Pr 0.333 0.522 0.666
Pr2 Pr 0.667 0.856 0.334
Ru1 Ru 0.500 0.240 0.000
Pr3 Pr 0.667 0.478 0.334
Ru2 Ru 0.500 0.760 0.000
Ru3 Ru 0.739 0.239 0.479
Ru4 Ru 0.261 0.761 0.521
Pr4 Pr 0.333 0.144 0.666
La1 La 0.096 0.096 0.191
La2 La 0.904 0.904 0.809
La3 La 0.000 0.500 0.000
```

Results
The calculation puts the total magnetization at 0.00 μB per cell. The value obtained for the density is 7.9 g/cm³. Its space group is Immm, No. 71. The density of states at the Fermi level is 9.02 states/eV/f.u.

---

# 11
Entry from Alexandria via LeMat-Bulk: crystalline La2PrRu at its relaxed geometry (PBE).

CIF file:
```
data_La2PrRu
_space_group_name_H-M_alt 'P 1'
_space_group_IT_number 1
_cell_length_a 3.576
_cell_length_b 3.576
_cell_length_c 9.587
_cell_angle_alpha 90.00
_cell_angle_beta 90.00
_cell_angle_gamma 90.00
loop_
_space_group_symop_operation_xyz
'x,y,z'
loop_
_atom_site_label
_atom_site_type_symbol
_atom_site_fract_x
_atom_site_fract_y
_atom_site_fract_z
Ru1 Ru 0.500 0.500 0.000
La1 La 0.000 0.000 0.179
Pr1 Pr 0.500 0.500 0.500
La2 La 0.000 0.000 0.821
```

Results
The calculation puts the total magnetization at 0.00 μB per cell. The value obtained for the density is 7.0 g/cm³. Its space group is P4/mmm, No. 123. The density of states at the Fermi level is 4.44 states/eV/f.u.

---

# 12
Entry from Alexandria via LeMat-Bulk: crystalline LaPrTlRu at its relaxed geometry (PBE).

CIF file:
```
data_LaPrTlRu
_space_group_name_H-M_alt 'P 1'
_space_group_IT_number 1
_cell_length_a 5.316
_cell_length_b 5.316
_cell_length_c 5.316
_cell_angle_alpha 60.00
_cell_angle_beta 60.00
_cell_angle_gamma 60.00
loop_
_space_group_symop_operation_xyz
'x,y,z'
loop_
_atom_site_label
_atom_site_type_symbol
_atom_site_fract_x
_atom_site_fract_y
_atom_site_fract_z
La1 La 0.500 0.500 0.500
Tl1 Tl 0.250 0.250 0.250
Ru1 Ru 0.750 0.750 0.750
Pr1 Pr 0.000 0.000 0.000
```

Results
The calculation puts the total magnetization at 0.00 μB per cell. The value obtained for the density is 9.1 g/cm³. Its space group is F-43m, No. 216. The density of states at the Fermi level is 3.13 states/eV/f.u.

---

| no. | E (eV per atom) |
| --- | --- |
| 1 | -6.792 |
| 2 | -6.321 |
| 3 | -7.104 |
| 4 | -5.909 |
| 5 | -6.700 |
| 6 | -6.054 |
| 7 | -6.192 |
| 8 | -6.308 |
| 9 | -5.587 |
| 10 | -6.558 |
| 11 | -6.044 |
| 12 | -5.471 |